(1)
# SmSn2Ge2Pt7 (PBE, relaxed)
# N(E_F) ... 6.42 states/eV/cell
# Calculated formation energy ... -0.5785 eV/atom
data_SmSn2Ge2Pt7
_space_group_name_H-M_alt 'C 1 2/m 1'
_space_group_IT_number 12
_space_group_name_Hall '-C 2y'
_cell_length_a 5.607
_cell_length_b 5.609
_cell_length_c 15.970
_cell_angle_alpha 90.00
_cell_angle_beta 100.00
_cell_angle_gamma 90.00
loop_
_atom_site_label
_atom_site_fract_x
_atom_site_fract_y
_atom_site_fract_z
_atom_site_occupancy
Sm1 0.000 0.000 0.000 1
Sn1 0.213 0.000 0.426 1
Ge1 0.119 0.500 0.241 1
Pt1 0.000 0.500 0.000 1
Pt2 0.179 0.250 0.856 1
Pt3 0.199 0.500 0.397 1


(2)
# Ce3TeF3 (PBE, relaxed)
# N(E_F) ... 113.65 states/eV/cell
# ΔE_f (raw) ... -2448 meV/atom
data_Ce3TeF3
_space_group_name_H-M_alt 'R -3'
_space_group_IT_number 148
_space_group_name_Hall '-R 3'
_cell_length_a 7.1832
_cell_length_b 7.1832
_cell_length_c 21.7447
_cell_angle_alpha 90.00
_cell_angle_beta 90.00
_cell_angle_gamma 120.00
loop_
_atom_site_label
_atom_site_fract_x
_atom_site_fract_y
_atom_site_fract_z
_atom_site_occupancy
Ce1 0.0101 0.3723 0.0732 1
Te1 0.0000 0.0000 0.1620 1
F1 0.0013 0.2973 0.9603 1


(3)
# CaNiAg2 (PBE, relaxed)
# N(E_F) ... 6.09 states/eV/cell
# Calculated formation energy ... 0.1732 eV/atom
data_CaNiAg2
_space_group_name_H-M_alt 'I -4 2 d'
_space_group_IT_number 122
_space_group_name_Hall 'I -4 2bw'
_cell_length_a 4.022
_cell_length_b 4.022
_cell_length_c 20.046
_cell_angle_alpha 90.00
_cell_angle_beta 90.00
_cell_angle_gamma 90.00
loop_
_atom_site_label
_atom_site_fract_x
_atom_site_fract_y
_atom_site_fract_z
_atom_site_occupancy
Ca1 0.000 0.000 0.000 1
Ni1 0.000 0.000 0.500 1
Ag1 0.225 0.250 0.625 1


(4)
# CaTl2Si (PBE, relaxed)
# N(E_F) ... 5.31 states/eV/cell
# ΔE_f (raw) ... 44 meV/atom
# Relative energy among the computed polymorphs ... 0.099 eV per atom
data_CaTl2Si
_space_group_name_H-M_alt 'F m -3 m'
_space_group_IT_number 225
_space_group_name_Hall '-F 4 2 3'
_cell_length_a 7.486
_cell_length_b 7.486
_cell_length_c 7.486
_cell_angle_alpha 90.00
_cell_angle_beta 90.00
_cell_angle_gamma 90.00
loop_
_atom_site_label
_atom_site_fract_x
_atom_site_fract_y
_atom_site_fract_z
_atom_site_occupancy
Ca1 0.000 0.000 0.000 1
Tl1 0.250 0.250 0.250 1
Si1 0.000 0.000 0.500 1


Taking the records one at a time from the top gives calculated volume values of 20.610 23.135 20.270 26.219 A^3/atom.
Taking the records one at a time from the top gives magnetization values of 0.00 4.02 0.00 0.00 μB/f.u..